(1)
# Tl2AgSb, relaxed, DFT PBE
# Crystal system: orthorhombic
# Energy relative to the lowest polymorph listed for this composition, kJ/mol of atoms: 13.23
# Formation energy from raw total energies, meV per atom: 143
data_Tl2AgSb
_symmetry_space_group_name_H-M 'I m m m'
_symmetry_Int_Tables_number 71
_symmetry_space_group_name_Hall '-I 2 2'
_cell_length_a 3.587
_cell_length_b 5.282
_cell_length_c 11.324
_cell_angle_alpha 90.00
_cell_angle_beta 90.00
_cell_angle_gamma 90.00
loop_
_atom_site_label
_atom_site_type_symbol
_atom_site_fract_x
_atom_site_fract_y
_atom_site_fract_z
Tl1 Tl 0.000 0.000 0.229
Ag1 Ag 0.000 0.500 0.500
Sb1 Sb 0.000 0.500 0.000

(2)
# Sm2HoSn, relaxed, DFT PBE
# Formation enthalpy at 0 K, eV per atom: -0.392
# Crystal system: orthorhombic
# Energy relative to the lowest polymorph listed for this composition, kJ/mol of atoms: 3.62
data_Sm2HoSn
_symmetry_space_group_name_H-M 'I m m 2'
_symmetry_Int_Tables_number 44
_symmetry_space_group_name_Hall 'I 2 -2'
_cell_length_a 4.765
_cell_length_b 4.775
_cell_length_c 10.200
_cell_angle_alpha 90.00
_cell_angle_beta 90.00
_cell_angle_gamma 90.00
loop_
_atom_site_label
_atom_site_type_symbol
_atom_site_fract_x
_atom_site_fract_y
_atom_site_fract_z
Sm1 Sm 0.000 0.000 0.000
Sm2 Sm 0.000 0.500 0.249
Ho1 Ho 0.000 0.500 0.751
Sn1 Sn 0.000 0.000 0.500

(3)
# Te3Se, relaxed, DFT PBE
# Crystal system: monoclinic
# Formation energy from raw total energies, meV per atom: 60
data_Te3Se
_symmetry_space_group_name_H-M 'C 1 2/m 1'
_symmetry_Int_Tables_number 12
_symmetry_space_group_name_Hall '-C 2y'
_cell_length_a 7.421
_cell_length_b 4.473
_cell_length_c 7.664
_cell_angle_alpha 90.00
_cell_angle_beta 109.74
_cell_angle_gamma 90.00
loop_
_atom_site_label
_atom_site_type_symbol
_atom_site_fract_x
_atom_site_fract_y
_atom_site_fract_z
Te1 Te 0.000 0.000 0.000
Te2 Te 0.248 0.500 0.262
Se1 Se 0.000 0.500 0.500